## Mg4As5 (PBE)

Data for an optimized crystal structure of Mg4As5.

It has space group I4/mmm (No. 139), with a = 9.964 Å, b = 9.964 Å, c = 3.684 Å, α = 90.00°, β = 90.00° and γ = 90.00°. The distinct sites, in fractional coordinates, are Mg at (0.000, 0.303, 0.000), As at (0.000, 0.000, 0.000) and As at (0.180, 0.180, 0.500).

As for the formation energy: -89 meV/atom. As for the density of states at the Fermi level: 3.206 states/eV/f.u. For the electronic total energy, the calculation gives -3.38 eV/atom.